No. 1
Below is crystalline TeP2 at its relaxed geometry, with properties calculated at the PBE level.

The space group is C2/m (No. 12) and the conventional cell measures 11.894, 3.151 and 8.640 Å, with angles of 90.00, 96.36 and 90.00 degrees. The inequivalent atoms are Te at (0.050, 0.000, 0.304), P at (0.191, 0.500, 0.974) and P at (0.242, 0.500, 0.589).

Its magnetic moment is 0.0 μB/cell. The energy relative to the elements, uncorrected comes out at 209 meV per atom. For the density of states at the Fermi level, the calculation gives 3.88 states/eV per cell. For the final energy, the calculation gives -4.45 eV per atom.

No. 2
Below is crystalline Ba2SbAuN at its relaxed geometry, with properties calculated at the PBE level.

The space group is P4/mmm (No. 123) and the conventional cell measures 6.423, 6.423 and 3.900 Å, with angles of 90.00, 90.00 and 90.00 degrees. The inequivalent atoms are Ba at (0.000, 0.500, 0.000), Sb at (0.000, 0.000, 0.500), Au at (0.500, 0.500, 0.000) and N at (0.500, 0.500, 0.500).

Its magnetic moment is 0.0 μB/cell. The energy relative to the elements, uncorrected comes out at -215 meV per atom. For the density of states at the Fermi level, the calculation gives 2.56 states/eV per cell. For the final energy, the calculation gives -4.13 eV per atom.

No. 3
Below is crystalline NbSbO5 at its relaxed geometry, with properties calculated at the PBE level.

The space group is C2/c (No. 15) and the conventional cell measures 8.553, 6.272 and 7.331 Å, with angles of 90.00, 115.09 and 90.00 degrees. The inequivalent atoms are Nb at (0.000, 0.033, 0.250), Sb at (0.000, 0.500, 0.000), O at (0.000, 0.377, 0.250), O at (0.012, 0.188, 0.958) and O at (0.247, 0.030, 0.367).

Its magnetic moment is 0.0 μB/cell. The energy relative to the elements, uncorrected comes out at -1896 meV per atom. For the density of states at the Fermi level, the calculation gives 0.00 states/eV per cell. For the final energy, the calculation gives -7.46 eV per atom.

No. 4
Below is crystalline Pa5As12Pb3 at its relaxed geometry, with properties calculated at the PBE level.

The space group is Ia-3d (No. 230) and the conventional cell measures 17.060, 17.060 and 17.060 Å, with angles of 90.00, 90.00 and 90.00 degrees. The inequivalent atoms are Pa at (0.000, 0.000, 0.000), Pa at (0.000, 0.250, 0.375), As at (0.054, 0.084, 0.633) and Pb at (0.000, 0.250, 0.125).

Its magnetic moment is 0.0 μB/cell. For the density of states at the Fermi level, the calculation gives 112.88 states/eV per cell. The value obtained for the energy of formation from the pure elements is -7.1 kJ/mol of atoms. For the final energy, the calculation gives -5.79 eV per atom.

No. 5
Below is crystalline Ac2Sn5Au at its relaxed geometry, with properties calculated at the PBE level.

The space group is I4mm (No. 107) and the conventional cell measures 6.758, 6.758 and 10.303 Å, with angles of 90.00, 90.00 and 90.00 degrees. The inequivalent atoms are Ac at (0.000, 0.500, 0.000), Sn at (0.000, 0.000, 0.458), Sn at (0.244, 0.244, 0.246) and Au at (0.000, 0.000, 0.908).

Its magnetic moment is 0.0 μB/cell. For the density of states at the Fermi level, the calculation gives 7.27 states/eV per cell. The value obtained for the energy of formation from the pure elements is -50.4 kJ/mol of atoms. For the final energy, the calculation gives -4.46 eV per atom.

No. 6
Below is crystalline ReGe2Ir at its relaxed geometry, with properties calculated at the PBE level.

The space group is R-3m (No. 166, hexagonal axes) and the conventional cell measures 2.9054, 2.9054 and 26.4998 Å, with angles of 90.00, 90.00 and 120.00 degrees. The inequivalent atoms are Re at (0.0000, 0.0000, 0.0000), Ge at (0.0000, 0.0000, 0.4093) and Ir at (0.0000, 0.0000, 0.5000).

Its magnetic moment is 0.0 μB/cell. For the density of states at the Fermi level, the calculation gives 7.81 states/eV per cell. The value obtained for the energy of formation from the pure elements is 20.2 kJ/mol of atoms. For the final energy, the calculation gives -7.43 eV per atom.

No. 7
Below is crystalline Li6Tl5Ge at its relaxed geometry, with properties calculated at the PBE level.

The space group is C2/m (No. 12) and the conventional cell measures 8.369, 14.602 and 4.863 Å, with angles of 90.00, 124.92 and 90.00 degrees. The inequivalent atoms are Li at (0.225, 0.000, 0.226), Li at (0.236, 0.158, 0.735), Tl at (0.000, 0.172, 0.000), Tl at (0.000, 0.336, 0.500), Tl at (0.000, 0.500, 0.000) and Ge at (0.000, 0.000, 0.500).

Its magnetic moment is 0.0 μB/cell. For the density of states at the Fermi level, the calculation gives 8.41 states/eV per cell. The value obtained for the energy of formation from the pure elements is -20.9 kJ/mol of atoms. For the final energy, the calculation gives -2.54 eV per atom.

No. 8
Below is crystalline Tl2Ag3Sb2 at its relaxed geometry, with properties calculated at the PBE level.

The space group is C2/m (No. 12) and the conventional cell measures 12.641, 4.747 and 6.468 Å, with angles of 90.00, 94.37 and 90.00 degrees. The inequivalent atoms are Tl at (0.149, 0.000, 0.085), Ag at (0.000, 0.500, 0.000), Ag at (0.208, 0.000, 0.592) and Sb at (0.097, 0.500, 0.639).

Its magnetic moment is 0.0 μB/cell. The energy relative to the elements, uncorrected comes out at 74 meV per atom. For the density of states at the Fermi level, the calculation gives 5.22 states/eV per cell. For the final energy, the calculation gives -3.00 eV per atom.